Density functional theory data (GGA-PBE) for a relaxed structure of HIF.

final energy = -8.99 eV per formula unit
SG = Pmn2_1
size of the total moment = 0.0 μB/cell

```
HIF
1.0
-2.9184 0.6625 -3.3149
-1.1718 -6.6910 -0.3056
-8.2927 1.1088 7.5225
I H F
4 4 4
direct
0.0000 0.8328 0.6461 I
0.5000 0.1672 0.1461 I
0.5000 0.3438 0.9014 I
0.0000 0.6562 0.4014 I
0.0000 0.8689 0.3337 H
0.5000 0.1311 0.8337 H
0.5000 0.5199 0.1630 H
0.0000 0.4801 0.6630 H
0.0000 0.3437 0.6405 F
0.5000 0.0632 0.3154 F
0.5000 0.6563 0.1405 F
0.0000 0.9368 0.8154 F
```